[1]
Here is crystalline Cs2ZrBi2 at its relaxed geometry from the Alexandria database. Energies are from PBE-GGA.

For the volume, the calculation gives 1017.9 Å³/cell. The total DFT energy (no corrections) is -3.9692 eV per atom. For the excess energy over the best structure of this formula in the dataset, the calculation gives 0 meV per atom. The total moment is 0.0 μB per cell.

The structure belongs to space group Ibam (No. 72); the cell edges are 8.452, 16.041 and 7.508 Å and the angles 90.00°, 90.00° and 90.00°. The distinct sites, in fractional coordinates, are Cs at (0.158, 0.150, 0.000), Zr at (0.000, 0.500, 0.250) and Bi at (0.181, 0.399, 0.000).

=====

[2]
Here is crystalline Cs3ZrBi3 at its relaxed geometry from the Alexandria database. Energies are from PBE-GGA.

For the volume, the calculation gives 1498.9 Å³/cell. The total DFT energy (no corrections) is -3.5298 eV per atom. The total moment is 0.0 μB per cell.

The structure belongs to space group C2/m (No. 12); the cell edges are 11.050, 13.055 and 10.470 Å and the angles 90.00°, 97.09° and 90.00°. The distinct sites, in fractional coordinates, are Cs at (0.000, 0.167, 0.000), Cs at (0.000, 0.289, 0.500), Cs at (0.126, 0.500, 0.864), Zr at (0.135, 0.000, 0.623), Bi at (0.124, 0.000, 0.344) and Bi at (0.201, 0.375, 0.211).

=====

[3]
Here is crystalline CsZr2Bi2 at its relaxed geometry from the Alexandria database. Energies are from PBE-GGA.

For the volume, the calculation gives 298.1 Å³/cell. The total DFT energy (no corrections) is -5.1573 eV per atom. For the excess energy over the best structure of this formula in the dataset, the calculation gives 203 meV per atom. The total moment is 0.0 μB per cell.

The structure belongs to space group P4/mbm (No. 127); the cell edges are 9.415, 9.415 and 3.362 Å and the angles 90.00°, 90.00° and 90.00°. The distinct sites, in fractional coordinates, are Cs at (0.000, 0.000, 0.000), Zr at (0.112, 0.388, 0.000) and Bi at (0.169, 0.669, 0.500).